Entry 1:
## RbSrNb (PBE)

Data for a relaxed RbSrNb crystal.

```
RbSrNb
1.0
4.4642 0.2253 -0.0453
-4.8111 6.5889 -1.4095
-1.4207 -0.1636 9.7316
Nb Rb Sr
2 2 2
Direct
0.4534 0.8086 0.3771
0.0632 0.9589 0.4194
0.7541 0.5336 0.6124
0.8149 0.0846 0.7813
0.7841 0.2263 0.2450
0.7185 0.6785 0.0963
```

Computed properties:
Symmetry: P1
Energy in eV for the cell shown: -21.0
Size of the total moment in μB/f.u.: 0.00
V in A^3/atom: 49.3

Entry 2:
## Cd2Ru (PBE)

Data for a relaxed Cd2Ru crystal.

```
Cd2Ru
1.0
-2.4352 1.4113 0.9022
0.3463 -2.8752 0.5909
3.3154 1.6938 6.2991
Cd Ru
2 1
Direct
0.3333 0.6667 0.6467
0.0000 0.0000 0.0199
0.6667 0.3333 0.3333
```

Computed properties:
Symmetry: P-3m1
Energy in eV for the cell shown: -10.1
Size of the total moment in μB/f.u.: 0.98
V in A^3/atom: 18.5

no.,energy of formation (meV per atom)
1,745
2,333